Sc2Zn3W4N3: optimized geometry, PBE-GGA.

```
data_Sc2Zn3W4N3
_symmetry_space_group_name_H-M 'C 1 2/c 1'
_symmetry_Int_Tables_number 15
_symmetry_space_group_name_Hall '-C 2yc'
_cell_length_a 9.294
_cell_length_b 5.408
_cell_length_c 13.537
_cell_angle_alpha 90.00
_cell_angle_beta 103.16
_cell_angle_gamma 90.00
loop_
_atom_site_label
_atom_site_fract_x
_atom_site_fract_y
_atom_site_fract_z
Sc1 0.046 0.083 0.392
Zn1 0.000 0.443 0.750
Zn2 0.236 0.154 0.749
W1 0.110 0.426 0.579
W2 0.219 0.416 0.922
N1 0.075 0.225 0.000
N2 0.250 0.250 0.500
```

Results
Mass density ... 10.66 Mg/m³
Electronic total energy ... -391.9 eV per cell
Magnetic moment ... 0.27 μB/cell